Record 1
Density functional theory data (PBE) for an optimized crystal structure of Na2MnN.

```
data_Na2MnN
_chemical_formula_sum 'Na8 Mn4 N4'
_symmetry_space_group_name_H-M 'I -4 2 d'
_symmetry_Int_Tables_number 122
_symmetry_space_group_name_Hall 'I -4 2bw'
_cell_length_a 9.982
_cell_length_b 9.982
_cell_length_c 3.647
_cell_angle_alpha 90.00
_cell_angle_beta 90.00
_cell_angle_gamma 90.00
loop_
_atom_site_label
_atom_site_fract_x
_atom_site_fract_y
_atom_site_fract_z
Na1 0.062 0.250 0.125
Mn1 0.000 0.000 0.500
N1 0.000 0.000 0.000
```

Output
Size of the total moment: 13.31 μB per cell
Calculated density: 2.1 Mg/m³
Fermi-level density of states: 0.553 states/eV per atom
Uncorrected energy: -4.969 eV per atom
Uncorrected formation energy: 0.064 eV per atom


Record 2
Density functional theory data (PBE) for an optimized crystal structure of CrIn2P.

```
data_CrIn2P
_chemical_formula_sum 'Cr1 In2 P1'
_symmetry_space_group_name_H-M 'P 4/m m m'
_symmetry_Int_Tables_number 123
_symmetry_space_group_name_Hall '-P 4 2'
_cell_length_a 4.474
_cell_length_b 4.474
_cell_length_c 3.919
_cell_angle_alpha 90.00
_cell_angle_beta 90.00
_cell_angle_gamma 90.00
loop_
_atom_site_label
_atom_site_fract_x
_atom_site_fract_y
_atom_site_fract_z
Cr1 0.000 0.000 0.000
In1 0.000 0.500 0.500
P1 0.500 0.500 0.000
```

Output
Size of the total moment: 3.34 μB per cell
Calculated density: 6.6 Mg/m³
Fermi-level density of states: 0.437 states/eV per atom
Energy relative to the elements: 0.38 eV/atom
Uncorrected energy: -4.749 eV per atom